Entry from OQMD: LaNd2Zn2Cu2Si4 after structural relaxation (GGA-PBE).

The structure in CIF format:
```
data_LaNd2Zn2Cu2Si4
_space_group_name_H-M_alt 'I m m m'
_space_group_IT_number 71
_space_group_name_Hall '-I 2 2'
_cell_length_a 4.174
_cell_length_b 4.200
_cell_length_c 24.237
_cell_angle_alpha 90.00
_cell_angle_beta 90.00
_cell_angle_gamma 90.00
loop_
_atom_site_label
_atom_site_fract_x
_atom_site_fract_y
_atom_site_fract_z
La1 0.000 0.000 0.000
Nd1 0.000 0.500 0.348
Zn1 0.000 0.500 0.099
Cu1 0.000 0.000 0.250
Si1 0.000 0.000 0.451
Si2 0.000 0.500 0.198
```

Output
energy relative to the lowest polymorph listed for this composition = 0 meV per atom
total DFT energy (no corrections) = -52.8 eV/f.u.